DFT (PBE-GGA) results for a relaxed V2FeAs crystal.

The total magnetization is 0.00 μB/f.u. The formation energy from the elements comes out at 182.3 meV/atom.

Lattice parameters (Å, degrees): 6.5813 6.5813 5.3107 51.71 51.71 90.00
Closest atoms and distances in Å follow each position.
Fractional coordinates of all 8 atoms:
Fe (0.5000, 0.5000, 0.0000)  4 V 2.27
V (0.5927, 0.1250, 0.2500)  2 Fe 2.27
V (0.3750, 0.4073, 0.7500)  2 Fe 2.27
V (0.1573, 0.6250, 0.2500)  2 Fe 2.27
V (0.8750, 0.8427, 0.7500)  2 Fe 2.27
As (0.0000, 0.0000, 0.0000)  2 Fe 2.56, 4 V 2.56
Fe (0.2500, 0.7500, 0.5000)  4 V 2.27
As (0.7500, 0.2500, 0.5000)  2 Fe 2.56, 4 V 2.56

***

DFT (PBE-GGA) results for a relaxed VFe2As crystal.

The total magnetization is 2.80 μB/f.u. The formation energy from the elements comes out at 185.3 meV/atom.

Lattice parameters (Å, degrees): 3.6189 3.6189 8.8527 78.21 78.21 90.00
Closest atoms and distances in Å follow each position.
Fractional coordinates of all 8 atoms:
V (0.2500, 0.7500, 0.5000)  4 Fe 2.50, 4 As 2.56
Fe (0.1088, 0.6250, 0.2500)  2 As 2.45, 4 Fe 2.48-2.64, 2 V 2.50
As (0.0000, 0.0000, 0.0000)  4 Fe 2.45, 4 V 2.56
Fe (0.8750, 0.8912, 0.7500)  2 As 2.45, 4 Fe 2.48-2.64, 2 V 2.50
V (0.5000, 0.5000, 0.0000)  4 Fe 2.50, 4 As 2.56
As (0.7500, 0.2500, 0.5000)  4 Fe 2.45, 4 V 2.56
Fe (0.3750, 0.3588, 0.7500)  2 As 2.45, 4 Fe 2.48-2.64, 2 V 2.50
Fe (0.6412, 0.1250, 0.2500)  2 As 2.45, 4 Fe 2.48-2.64, 2 V 2.50

***

DFT (PBE-GGA) results for a relaxed VFeAs2 crystal.

The energy above the most stable polymorph in this dataset is 350.7 meV per atom. The total magnetization is 1.13 μB/f.u. The formation energy from the elements comes out at 27.1 meV/atom.

Lattice parameters (Å, degrees): 3.6623 3.6623 5.6148 70.97 70.97 60.00
Closest atoms and distances in Å follow each position.
Fractional coordinates of all 4 atoms:
Fe (0.5000, 0.5000, 0.5000)  6 As 2.41
V (0.0000, 0.0000, 0.0000)  6 As 2.56
As (0.7593, 0.7593, 0.7221)  3 Fe 2.41, 3 V 2.56
As (0.2407, 0.2407, 0.2779)  3 Fe 2.41, 3 V 2.56

***

DFT (PBE-GGA) results for a relaxed V4Fe2As crystal.

The total magnetization is 0.03 μB/f.u. The formation energy from the elements comes out at 762.0 meV/atom.

Lattice parameters (Å, degrees): 4.4278 4.4278 6.7209 70.77 70.77 90.00
Closest atoms and distances in Å follow each position.
Fractional coordinates of all 7 atoms:
Fe (0.3844, 0.3844, 0.2312)  1 V 2.14
V (0.0000, 0.5000, 0.0000)  2 As 2.21
Fe (0.6156, 0.6156, 0.7688)  1 V 2.14
V (0.2041, 0.2041, 0.5917)  1 Fe 2.14
As (0.0000, 0.0000, 0.0000)  6 V 2.21-2.43
V (0.5000, 0.0000, 0.0000)  2 As 2.21
V (0.7959, 0.7959, 0.4083)  1 Fe 2.14

***

DFT (PBE-GGA) results for a relaxed FeAsW2 crystal.

The total magnetization is 2.04 μB/f.u. The formation energy from the elements comes out at 488.9 meV/atom.

Lattice parameters (Å, degrees): 4.3793 4.3793 4.3793 60.00 60.00 60.00
Closest atoms and distances in Å follow each position.
Fractional coordinates of all 4 atoms:
As (0.5000, 0.5000, 0.5000)  4 Fe 2.68, 4 W 2.68
W (0.2500, 0.2500, 0.2500)  4 As 2.68, 4 W 2.68
Fe (0.7500, 0.7500, 0.7500)  4 W 2.68, 4 As 2.68
W (0.0000, 0.0000, 0.0000)  4 W 2.68, 4 Fe 2.68

***

DFT (PBE-GGA) results for a relaxed FeAsW2 crystal.

The total magnetization is 2.27 μB/f.u. The formation energy from the elements comes out at 453.0 meV/atom.

Lattice parameters (Å, degrees): 4.0192 3.8314 3.8314 90.00 90.00 90.00
Closest atoms and distances in Å follow each position.
Fractional coordinates of all 4 atoms:
Fe (0.5000, 0.0000, 0.5000)  4 As 2.71, 8 W 2.78
As (0.5000, 0.5000, 0.0000)  4 Fe 2.71, 8 W 2.78
W (0.0000, 0.0000, 0.0000)  4 W 2.71, 4 Fe 2.78, 4 As 2.78
W (0.0000, 0.5000, 0.5000)  4 W 2.71, 4 As 2.78, 4 Fe 2.78

***

DFT (PBE-GGA) results for a relaxed FeAsW crystal.

The total magnetization is 0.84 μB/f.u. The formation energy from the elements comes out at 225.1 meV/atom.

Lattice parameters (Å, degrees): 5.2208 5.2227 5.2227 147.38 147.37 46.82
Closest atoms and distances in Å follow each position.
Fractional coordinates of all 3 atoms:
W (0.6705, 0.6705, 0.0000)  4 Fe 2.67, 4 As 2.74, 4 W 2.93
Fe (0.3460, 0.3460, 0.0000)  4 As 2.46, 4 W 2.67
As (0.9835, 0.9835, 0.0000)  4 Fe 2.46, 4 W 2.74

***

DFT (PBE-GGA) results for a relaxed FeAsW2 crystal.

The total magnetization is 0.17 μB/f.u. The formation energy from the elements comes out at 305.4 meV/atom.

Lattice parameters (Å, degrees): 2.8382 2.8382 7.1756 90.00 90.00 93.04
Closest atoms and distances in Å follow each position.
Fractional coordinates of all 4 atoms:
Fe (0.5000, 0.5000, 0.7286)  4 As 2.40-2.49, 2 W 2.64
W (0.5000, 0.5000, 0.2628)  4 As 2.75-2.83, 8 W 2.84-2.91
As (0.0000, 0.0000, 0.5332)  4 Fe 2.40-2.49
W (0.0000, 0.0000, 0.9754)  4 Fe 2.64-2.72, 8 W 2.84-2.91

***

DFT (PBE-GGA) results for a relaxed FeAsW2 crystal.

The total magnetization is 0.00 μB/f.u. The formation energy from the elements comes out at 236.1 meV/atom.

Lattice parameters (Å, degrees): 3.9211 2.8702 5.2822 74.20 90.00 90.00
Closest atoms and distances in Å follow each position.
Fractional coordinates of all 4 atoms:
W (0.0000, 0.9524, 0.9701)  4 Fe 2.66-2.67, 3 As 2.69-2.79, 6 W 2.87-2.89
Fe (0.5000, 0.5599, 0.7541)  2 As 2.35
W (0.5000, 0.3004, 0.2756)  3 Fe 2.65-2.82, 4 As 2.68-2.69, 6 W 2.87-2.89
As (0.0000, 0.6873, 0.5002)  2 Fe 2.35

***

DFT (PBE-GGA) results for a relaxed FeAsW2 crystal.

The total magnetization is 0.82 μB/f.u. The formation energy from the elements comes out at 212.9 meV/atom.

Lattice parameters (Å, degrees): 3.1710 3.1710 5.8238 90.00 90.00 90.00
Closest atoms and distances in Å follow each position.
Fractional coordinates of all 4 atoms:
W (0.0000, 0.0000, 0.9686)  4 Fe 2.54, 1 As 2.71, 4 W 2.82
Fe (0.5000, 0.5000, 0.7655)  4 W 2.54, 4 As 2.71
W (0.5000, 0.5000, 0.2633)  4 As 2.64, 4 W 2.82, 2 Fe 2.90-2.92
As (0.0000, 0.0000, 0.5026)  5 W 2.64-2.71, 4 Fe 2.71

***

DFT (PBE-GGA) results for a relaxed Fe2As2W crystal.

The energy above the most stable polymorph in this dataset is 0.0 meV per atom. The total magnetization is 2.88 μB/f.u. The formation energy from the elements comes out at 186.7 meV/atom.

Lattice parameters (Å, degrees): 6.8773 6.8773 2.8832 90.00 90.00 90.00
Closest atoms and distances in Å follow each position.
Fractional coordinates of all 10 atoms:
As (0.1550, 0.3450, 0.0000)  6 Fe 2.45-2.50, 2 W 2.60
W (0.5000, 0.5000, 0.0000)  4 As 2.60, 2 W 2.88
Fe (0.3591, 0.1409, 0.5000)  6 As 2.45-2.50, 1 Fe 2.74
As (0.3450, 0.8450, 0.0000)  6 Fe 2.45-2.50, 2 W 2.60
Fe (0.6409, 0.8591, 0.5000)  6 As 2.45-2.50, 1 Fe 2.74
Fe (0.1409, 0.6409, 0.5000)  6 As 2.45-2.50, 1 Fe 2.74
As (0.8450, 0.6550, 0.0000)  6 Fe 2.45-2.50, 2 W 2.60
W (0.0000, 0.0000, 0.0000)  4 As 2.60, 2 W 2.88
Fe (0.8591, 0.3591, 0.5000)  6 As 2.45-2.50, 1 Fe 2.74
As (0.6550, 0.1550, 0.0000)  6 Fe 2.45-2.50, 2 W 2.60

***

DFT (PBE-GGA) results for a relaxed FeAsW2 crystal.

The total magnetization is 1.20 μB/f.u. The formation energy from the elements comes out at 226.3 meV/atom.

Lattice parameters (Å, degrees): 5.0812 5.0812 5.0812 144.97 129.70 62.76
Closest atoms and distances in Å follow each position.
Fractional coordinates of all 4 atoms:
Fe (0.2701, 0.7701, 0.5000)  2 As 2.39, 4 W 2.67
W (0.0151, 0.0151, 0.0000)  4 As 2.66, 2 Fe 2.69, 4 W 2.87-2.89
As (0.4823, 0.4823, 0.0000)  2 Fe 2.39, 6 W 2.66
W (0.7325, 0.2325, 0.5000)  2 As 2.66, 4 Fe 2.67, 4 W 2.87-2.89

***

DFT (PBE-GGA) results for a relaxed FeAsW2 crystal.

The total magnetization is 0.00 μB/f.u. The formation energy from the elements comes out at 243.9 meV/atom.

Lattice parameters (Å, degrees): 4.8555 4.8555 4.4898 71.62 71.62 34.95
Closest atoms and distances in Å follow each position.
Fractional coordinates of all 4 atoms:
W (0.7701, 0.7701, 0.7002)  3 As 2.63-2.67, 4 Fe 2.64-2.76, 4 W 2.86-2.92
Fe (0.2341, 0.2341, 0.2088)  2 As 2.49, 7 W 2.56-2.76
As (0.5207, 0.5207, 0.5270)  2 Fe 2.49, 7 W 2.63-2.73
W (0.9751, 0.9751, 0.0640)  3 Fe 2.56-2.69, 4 As 2.68-2.73, 1 W 2.86

***

DFT (PBE-GGA) results for a relaxed Fe2AsW2 crystal.

The energy above the most stable polymorph in this dataset is 0.0 meV per atom. The total magnetization is 2.05 μB/f.u. The formation energy from the elements comes out at 408.7 meV/atom.

Lattice parameters (Å, degrees): 3.2146 3.2146 7.3709 77.40 77.40 90.00
Closest atoms and distances in Å follow each position.
Fractional coordinates of all 5 atoms:
As (0.0000, 0.0000, 0.0000)  8 W 2.73
W (0.6073, 0.6073, 0.7855)  4 Fe 2.57, 4 As 2.73
Fe (0.2500, 0.7500, 0.5000)  4 Fe 2.27
Fe (0.7500, 0.2500, 0.5000)  4 Fe 2.27
W (0.3927, 0.3927, 0.2145)  4 Fe 2.57, 4 As 2.73

***

DFT (PBE-GGA) results for a relaxed FeAsW2 crystal.

The total magnetization is 0.00 μB/f.u. The formation energy from the elements comes out at 331.9 meV/atom.

Lattice parameters (Å, degrees): 4.7694 4.7694 4.4170 78.85 78.85 36.71
Closest atoms and distances in Å follow each position.
Fractional coordinates of all 4 atoms:
Fe (0.2500, 0.2500, 0.2500)  4 As 2.67, 6 W 2.71-2.72
W (0.9956, 0.9956, 0.0126)  4 W 2.59-2.75, 3 As 2.71-2.80, 3 Fe 2.71-2.72
W (0.5044, 0.5044, 0.4874)  4 W 2.59-2.75, 3 As 2.71-2.80, 3 Fe 2.71-2.72
As (0.7500, 0.7500, 0.7500)  4 Fe 2.67, 6 W 2.71-2.80

***

DFT (PBE-GGA) results for a relaxed FeAsW2 crystal.

The total magnetization is 1.20 μB/f.u. The formation energy from the elements comes out at 421.7 meV/atom.

Lattice parameters (Å, degrees): 8.8225 8.8225 8.8225 18.45 18.45 18.45
Closest atoms and distances in Å follow each position.
Fractional coordinates of all 4 atoms:
W (0.4959, 0.4959, 0.4959)  3 Fe 2.63, 3 As 2.80, 6 W 2.83
W (0.0041, 0.0041, 0.0041)  3 Fe 2.63, 3 As 2.80, 6 W 2.83
Fe (0.7500, 0.7500, 0.7500)  6 W 2.63, 6 Fe 2.83
As (0.2500, 0.2500, 0.2500)  6 W 2.80, 6 As 2.83

***

DFT (PBE-GGA) results for a relaxed FeAsW crystal.

The total magnetization is 1.02 μB/f.u. The formation energy from the elements comes out at 292.8 meV/atom.

Lattice parameters (Å, degrees): 2.8368 2.8368 6.1922 90.00 90.00 120.00
Closest atoms and distances in Å follow each position.
Fractional coordinates of all 3 atoms:
Fe (0.6667, 0.3333, 0.3279)  3 As 2.51, 3 W 2.58
As (0.0000, 0.0000, 0.0214)  3 Fe 2.51
W (0.3333, 0.6667, 0.6507)  3 Fe 2.58, 3 As 2.82, 6 W 2.84

***

DFT (PBE-GGA) results for a relaxed FeAsW crystal.

The total magnetization is 1.01 μB/f.u. The formation energy from the elements comes out at 468.0 meV/atom.

Lattice parameters (Å, degrees): 4.1598 4.1598 4.1598 60.00 60.00 60.00
Closest atoms and distances in Å follow each position.
Fractional coordinates of all 3 atoms:
As (0.0000, 0.0000, 0.0000)  4 W 2.55
W (0.7500, 0.7500, 0.7500)  4 Fe 2.55, 4 As 2.55
Fe (0.5000, 0.5000, 0.5000)  4 W 2.55

***

DFT (PBE-GGA) results for a relaxed FeAsW2 crystal.

The total magnetization is 0.00 μB/f.u. The formation energy from the elements comes out at 727.4 meV/atom.

Lattice parameters (Å, degrees): 3.7276 3.7276 9.4795 78.66 78.66 90.00
Closest atoms and distances in Å follow each position.
Fractional coordinates of all 8 atoms:
As (0.7500, 0.2500, 0.5000)  4 W 2.63, 4 Fe 2.64
As (0.0000, 0.0000, 0.0000)  4 W 2.63, 4 Fe 2.64
W (0.6228, 0.1250, 0.2500)  4 W 2.62-2.65, 2 Fe 2.63, 2 As 2.63
Fe (0.5000, 0.5000, 0.0000)  4 W 2.63, 4 As 2.64
W (0.3750, 0.3772, 0.7500)  4 W 2.62-2.65, 2 Fe 2.63, 2 As 2.63
Fe (0.2500, 0.7500, 0.5000)  4 W 2.63, 4 As 2.64
W (0.8750, 0.8728, 0.7500)  4 W 2.62-2.65, 2 Fe 2.63, 2 As 2.63
W (0.1272, 0.6250, 0.2500)  4 W 2.62-2.65, 2 Fe 2.63, 2 As 2.63

***

DFT (PBE-GGA) results for a relaxed FeAsW2 crystal.

The total magnetization is 1.65 μB/f.u. The formation energy from the elements comes out at 393.2 meV/atom.

Lattice parameters (Å, degrees): 4.9053 4.9053 4.9053 134.77 134.77 65.89
Closest atoms and distances in Å follow each position.
Fractional coordinates of all 4 atoms:
As (0.5000, 0.5000, 0.0000)  8 W 2.67-2.79, 4 Fe 2.79
Fe (0.7500, 0.2500, 0.5000)  8 W 2.67-2.79, 4 As 2.79
W (0.0000, 0.0000, 0.0000)  4 As 2.67, 4 Fe 2.79, 4 W 2.79
W (0.2500, 0.7500, 0.5000)  4 Fe 2.67, 4 W 2.79, 4 As 2.79